Crystalline LaDyWO6 at its relaxed geometry, computed with GGA+U.

The value obtained for the calculated volume is 15.19 Å³ per atom. For the total energy, the calculation gives -72.8 eV per formula unit.

It has space group P312 (No. 149), with a = 5.5875 Å, b = 5.5875 Å, c = 5.0550 Å, α = 90.00°, β = 90.00° and γ = 120.00°. The asymmetric unit holds La at (0.0000, 0.0000, 0.0000), Dy at (0.3333, 0.6667, 0.5000), W at (0.6667, 0.3333, 0.5000) and O at (0.3783, 0.0393, 0.7174).